The following is a DFT calculation (SCAN) of a crystal of BaSrTi2 relaxed with PBEsol.

Formation enthalpy at 0 K = 1008.6 meV/atom

```
BaSrTi2
1.0
-5.004 -2.440 0.444
-1.462 -4.042 -3.566
-0.384 -5.283 1.772
Sr Ba Ti
1 1 2
direct
0.000 0.000 0.000
0.500 0.500 0.500
0.250 0.250 0.250
0.750 0.750 0.750
```